The following is a DFT calculation (PBE) of a relaxed structure of Dy4Al3.

As for the formation energy from the elements: -2.2 eV/f.u.

Cell lengths 6.352, 8.207, 8.207 Å; angles 113.59, 104.95, 104.95 degrees
Sites, in units of the cell vectors:
Dy: 0.500 0.000 0.000
Dy: 0.000 0.000 0.000
Dy: 0.924 0.698 0.550
Dy: 0.374 0.450 0.148
Dy: 0.226 0.852 0.302
Dy: 0.076 0.302 0.450
Dy: 0.626 0.550 0.852
Dy: 0.774 0.148 0.698
Al: 0.134 0.595 0.870
Al: 0.263 0.130 0.725
Al: 0.538 0.275 0.405
Al: 0.866 0.405 0.130
Al: 0.737 0.870 0.275
Al: 0.462 0.725 0.595



The following is a DFT calculation (PBE) of a relaxed structure of Dy4Al3.

As for the formation energy from the elements: -1.7 eV/f.u.

Cell lengths 5.050, 5.050, 8.730 Å; angles 73.19, 73.19, 60.00 degrees
Sites, in units of the cell vectors:
Dy: 0.620 0.620 0.141
Dy: 0.872 0.872 0.385
Dy: 0.128 0.128 0.615
Dy: 0.380 0.380 0.859
Al: 0.252 0.252 0.244
Al: 0.748 0.748 0.756
Al: 0.000 0.000 0.000



The following is a DFT calculation (PBE) of a relaxed structure of DyAl3.

As for the formation energy from the elements: -1.4 eV/f.u.

Cell lengths 4.203, 4.203, 9.403 Å; angles 102.91, 102.91, 90.00 degrees
Sites, in units of the cell vectors:
Al: 0.372 0.372 0.744
Al: 0.000 0.500 0.000
Al: 0.628 0.628 0.256
Al: 0.250 0.750 0.500
Al: 0.750 0.250 0.500
Al: 0.500 0.000 0.000
Dy: 0.120 0.120 0.239
Dy: 0.880 0.880 0.761



The following is a DFT calculation (PBE) of a relaxed structure of DyAl4.

As for the formation energy from the elements: 0.8 eV/f.u.

Cell lengths 5.502, 9.254, 9.254 Å; angles 90.00, 90.00, 90.00 degrees
Sites, in units of the cell vectors:
Dy: 0.000 0.145 0.645
Dy: 0.000 0.645 0.855
Dy: 0.000 0.355 0.145
Dy: 0.000 0.855 0.355
Al: 0.500 0.900 0.600
Al: 0.500 0.600 0.100
Al: 0.500 0.400 0.900
Al: 0.500 0.100 0.400
Al: 0.500 0.196 0.111
Al: 0.500 0.111 0.804
Al: 0.500 0.889 0.196
Al: 0.500 0.804 0.889
Al: 0.500 0.304 0.611
Al: 0.500 0.696 0.389
Al: 0.500 0.611 0.696
Al: 0.500 0.389 0.304
Al: 0.218 0.000 0.000
Al: 0.782 0.500 0.500
Al: 0.782 0.000 0.000
Al: 0.218 0.500 0.500



Question: Among the records above, which one has the lowest formation energy from the elements?
Answer: number 1